Dy7Ni2Ru2 | PBE | relaxed

abc: 6.4838 6.9564 6.4838
angles: 90.00 112.26 90.00
Fractional positions:
1 Dy 0.5003 0.7239 0.9998
2 Dy 0.0000 0.0000 0.0000
3 Dy 0.9998 0.2761 0.5003
4 Dy 0.4997 0.2761 0.0002
5 Dy 0.4998 0.2624 0.5002
6 Dy 0.0002 0.7239 0.4997
7 Dy 0.5002 0.7376 0.4998
8 Ru 0.3024 0.0000 0.6976
9 Ru 0.6976 0.0000 0.3024
10 Ni 0.1680 0.5000 0.1680
11 Ni 0.8320 0.5000 0.8320

Summary:
E_form, meV per atom: -125
Total moment, μB per cell: 0.0
Symmetry: Cmmm, No. 65